No. 1
Entry from Alexandria: an optimized crystal structure of InNiIr3 (PBE).

a b c (Å): 4.5062 4.5062 4.5062
angles (deg): 90.00 90.00 90.00
With the nearest neighbours (Å) after each atom.
Element x y z (fractional)
1 In 0.0000 0.0000 0.0000  12 Ir 3.19
2 Ni 0.5000 0.5000 0.5000  6 Ir 2.25
3 Ir 0.0000 0.5000 0.5000  2 Ni 2.25
4 Ir 0.5000 0.0000 0.5000  2 Ni 2.25
5 Ir 0.5000 0.5000 0.0000  2 Ni 2.25

Results
As for the space group: Pm-3m (221). The value obtained for the energy relative to the lowest polymorph listed for this composition is 0 meV/atom.

---

No. 2
Entry from Alexandria: an optimized crystal structure of InNi2Ir (PBE).

a b c (Å): 2.8220 4.3526 4.5612
angles (deg): 90.00 90.00 90.00
With the nearest neighbours (Å) after each atom.
Element x y z (fractional)
1 In 0.0000 0.0000 0.0000  8 Ni 2.66-2.70, 2 Ir 2.81, 2 In 2.82
2 Ni 0.5000 0.0000 0.4954  4 Ir 2.65, 4 In 2.66-2.70, 4 Ni 2.71-2.82
3 Ni 0.5000 0.5000 0.1424  4 Ir 2.56-2.81, 4 In 2.67, 4 Ni 2.71-2.82
4 Ir 0.0000 0.5000 0.6102  8 Ni 2.56-2.81, 2 In 2.81, 2 Ir 2.82

Results
As for the space group: Pmm2 (25).

---

The calculation returns the following formation energy values, one per record and in order: 1.2019 0.0132 eV/atom.
The calculation returns the following size of the total moment values, one per record and in order: 0.534 0.000 μB per atom.
The calculation returns the following E_tot values, one per record and in order: -5.8186 -5.7773 eV/atom.